No. 1
# AcLa6Tb2Nd

A geometry-optimized AcLa6Tb2Nd structure (PBE-GGA, the Alexandria database).

```
data_AcLa6Tb2Nd
_space_group_name_H-M_alt 'P 1'
_space_group_IT_number 1
_cell_length_a 9.121
_cell_length_b 9.121
_cell_length_c 10.102
_cell_angle_alpha 94.11
_cell_angle_beta 94.11
_cell_angle_gamma 117.45
loop_
_space_group_symop_operation_xyz
'x,y,z'
loop_
_atom_site_label
_atom_site_fract_x
_atom_site_fract_y
_atom_site_fract_z
Ac1 0.025 0.975 0.750
Ac2 0.975 0.025 0.250
La1 0.010 0.554 0.685
La2 0.109 0.749 0.051
La3 0.251 0.891 0.449
La4 0.298 0.507 0.878
La5 0.446 0.990 0.815
La6 0.493 0.702 0.622
La7 0.507 0.298 0.378
La8 0.554 0.010 0.185
La9 0.702 0.493 0.122
La10 0.749 0.109 0.551
La11 0.891 0.251 0.949
La12 0.990 0.446 0.315
Tb1 0.198 0.299 0.546
Tb2 0.299 0.198 0.046
Tb3 0.701 0.802 0.954
Tb4 0.802 0.701 0.454
Nd1 0.408 0.592 0.250
Nd2 0.592 0.408 0.750
```



No. 2
# Li2NiRu (PBE-GGA, relaxed)
# Energy relative to the lowest polymorph listed for this composition ... 488 meV/atom
data_Li2NiRu
_space_group_name_H-M_alt 'P 1'
_space_group_IT_number 1
_cell_length_a 5.213
_cell_length_b 5.213
_cell_length_c 5.213
_cell_angle_alpha 101.98
_cell_angle_beta 101.98
_cell_angle_gamma 125.80
loop_
_space_group_symop_operation_xyz
'x,y,z'
loop_
_atom_site_label
_atom_site_fract_x
_atom_site_fract_y
_atom_site_fract_z
Li1 0.109 0.125 0.484
Li2 0.375 0.891 0.016
Li3 0.641 0.625 0.516
Li4 0.875 0.359 0.984
Ni1 0.000 0.000 0.000
Ni2 0.750 0.250 0.500
Ru1 0.250 0.750 0.500
Ru2 0.500 0.500 0.000



No. 3
# LaNbIn3 (PBE-GGA, relaxed)
# Energy relative to the lowest polymorph listed for this composition ... 1400 meV/atom
data_LaNbIn3
_space_group_name_H-M_alt 'P 1'
_space_group_IT_number 1
_cell_length_a 5.859
_cell_length_b 5.859
_cell_length_c 5.859
_cell_angle_alpha 90.00
_cell_angle_beta 90.00
_cell_angle_gamma 90.00
loop_
_space_group_symop_operation_xyz
'x,y,z'
loop_
_atom_site_label
_atom_site_fract_x
_atom_site_fract_y
_atom_site_fract_z
La1 0.000 0.000 0.000
Nb1 0.500 0.500 0.500
In1 0.000 0.000 0.500
In2 0.000 0.500 0.000
In3 0.500 0.000 0.000



It is found that the formation energy from the elements values, taken in the order of the records, are 1.02 2.15 7.37 eV per formula unit.
It is found that the size of the total moment values, taken in the order of the records, are 0.000 1.784 3.340 μB per cell.